Entry 1:
# Cs2ZrAg2S4 | OQMD via LeMat-Bulk | PBE | relaxed
# Crystal system: orthorhombic
# Total DFT energy (no corrections): -4.66 eV/atom
data_Cs2ZrAg2S4
_cell_length_a 6.1862
_cell_length_b 14.2188
_cell_length_c 6.1772
_cell_angle_alpha 90.00
_cell_angle_beta 90.00
_cell_angle_gamma 90.00
_symmetry_space_group_name_H-M 'C 2 2 2'
_symmetry_Int_Tables_number 21
_symmetry_space_group_name_Hall 'C 2 2'
loop_
_atom_site_label
_atom_site_type_symbol
_atom_site_fract_x
_atom_site_fract_y
_atom_site_fract_z
_atom_site_occupancy
Cs1 Cs 0.2500 0.2500 0.2383 1
Zr1 Zr 0.0000 0.0000 0.5000 1
Ag1 Ag 0.0000 0.0000 0.0000 1
Ag2 Ag 0.0000 0.5000 0.5000 1
S1 S 0.2265 0.1001 0.7261 1

Entry 2:
# CsZrAg3S4 | OQMD via LeMat-Bulk | PBE | relaxed
# Crystal system: cubic
# Total DFT energy (no corrections): -4.61 eV/atom
data_CsZrAg3S4
_cell_length_a 6.4688
_cell_length_b 6.4688
_cell_length_c 6.4688
_cell_angle_alpha 90.00
_cell_angle_beta 90.00
_cell_angle_gamma 90.00
_symmetry_space_group_name_H-M 'P -4 3 m'
_symmetry_Int_Tables_number 215
_symmetry_space_group_name_Hall 'P -4 2 3'
loop_
_atom_site_label
_atom_site_type_symbol
_atom_site_fract_x
_atom_site_fract_y
_atom_site_fract_z
_atom_site_occupancy
Cs1 Cs 0.0000 0.0000 0.0000 1
Zr1 Zr 0.5000 0.5000 0.5000 1
Ag1 Ag 0.0000 0.5000 0.5000 1
S1 S 0.2845 0.2845 0.2845 1